Entry 1:
ReSb3 | PBE-GGA | optimized geometry

The value obtained for the formation energy without anion corrections is 222.8 kJ/mol of formula units. The value obtained for the density is 9.57 g/cm3.

It has space group C2/m (No. 12), with a = 8.575 Å, b = 3.297 Å, c = 6.839 Å, α = 90.00°, β = 98.11° and γ = 90.00°. The inequivalent atoms are Re at (0.000, 0.000, 0.000), Sb at (0.000, 0.500, 0.500) and Sb at (0.226, 0.500, 0.194).

Entry 2:
AgPbSBr | PBE-GGA | optimized geometry

The value obtained for the formation energy without anion corrections is -171.3 kJ/mol of formula units. The value obtained for the density is 5.94 g/cm3.

It has space group P6_3mc (No. 186), with a = 4.2559 Å, b = 4.2559 Å, c = 15.2240 Å, α = 90.00°, β = 90.00° and γ = 120.00°. The inequivalent atoms are Ag at (0.0000, 0.0000, 0.0000), Pb at (0.3333, 0.6667, 0.2476), S at (0.0000, 0.0000, 0.1606) and Br at (0.3333, 0.6667, 0.9109).

Entry 3:
LiAcMoN3 | PBE-GGA | optimized geometry

The value obtained for the formation energy without anion corrections is -409.0 kJ/mol of formula units. The value obtained for the density is 7.57 g/cm3.

It has space group Cmcm (No. 63), with a = 5.762 Å, b = 10.321 Å, c = 5.487 Å, α = 90.00°, β = 90.00° and γ = 90.00°. The inequivalent atoms are Li at (0.000, 0.076, 0.250), Ac at (0.000, 0.198, 0.750), Mo at (0.000, 0.449, 0.250), N at (0.000, 0.267, 0.250) and N at (0.247, 0.500, 0.000).

Entry 4:
UNbMo2 | PBE-GGA | optimized geometry

The value obtained for the density is 12.11 g/cm3. For the energy of formation, the calculation gives 10 kJ/mol of atoms.

It has space group Fm-3m (No. 225), with a = 6.594 Å, b = 6.594 Å, c = 6.594 Å, α = 90.00°, β = 90.00° and γ = 90.00°. The inequivalent atoms are U at (0.000, 0.000, 0.000), Nb at (0.000, 0.000, 0.500) and Mo at (0.250, 0.250, 0.250).

Entry 5:
PrTmPu2Te5 | PBE-GGA | optimized geometry

The value obtained for the formation energy without anion corrections is -639.7 kJ/mol of formula units. The value obtained for the density is 6.77 g/cm3.

It has space group P4/mmm (No. 123), with a = 5.463 Å, b = 5.463 Å, c = 11.798 Å, α = 90.00°, β = 90.00° and γ = 90.00°. The inequivalent atoms are Pr at (0.000, 0.000, 0.000), Tm at (0.000, 0.000, 0.500), Pu at (0.500, 0.500, 0.322), Te at (0.000, 0.000, 0.251), Te at (0.000, 0.500, 0.500) and Te at (0.500, 0.500, 0.000).

Entry 6:
LaCd3Cu | PBE-GGA | optimized geometry

The value obtained for the density is 7.14 g/cm3. For the energy of formation, the calculation gives -8 kJ/mol of atoms.

It has space group Pm-3m (No. 221), with a = 5.008 Å, b = 5.008 Å, c = 5.008 Å, α = 90.00°, β = 90.00° and γ = 90.00°. The inequivalent atoms are La at (0.000, 0.000, 0.000), Cd at (0.000, 0.500, 0.500) and Cu at (0.500, 0.500, 0.500).

Entry 7:
Pm4GaSCl2 | PBE-GGA | optimized geometry

The value obtained for the formation energy without anion corrections is -1063.3 kJ/mol of formula units. The value obtained for the density is 6.14 g/cm3.

It has space group P2/m (No. 10), with a = 7.075 Å, b = 4.158 Å, c = 7.354 Å, α = 90.00°, β = 109.71° and γ = 90.00°. The inequivalent atoms are Pm at (0.233, 0.000, 0.219), Pm at (0.248, 0.500, 0.772), Ga at (0.500, 0.000, 0.000), S at (0.000, 0.500, 0.000), Cl at (0.000, 0.000, 0.500) and Cl at (0.500, 0.500, 0.500).

Entry 8:
Mg3InSn | PBE-GGA | optimized geometry

The value obtained for the density is 3.24 g/cm3. For the energy of formation, the calculation gives 28 kJ/mol of atoms.

It has space group Pm-3m (No. 221), with a = 5.396 Å, b = 5.396 Å, c = 5.396 Å, α = 90.00°, β = 90.00° and γ = 90.00°. The inequivalent atoms are Mg at (0.000, 0.000, 0.500), In at (0.500, 0.500, 0.500) and Sn at (0.000, 0.000, 0.000).

Entry 9:
Nd3Dy3Ni4 | PBE-GGA | optimized geometry

The value obtained for the density is 8.40 g/cm3. For the energy of formation, the calculation gives -25 kJ/mol of atoms.

It has space group Amm2 (No. 38), with a = 3.852 Å, b = 10.787 Å, c = 10.987 Å, α = 90.00°, β = 90.00° and γ = 90.00°. The inequivalent atoms are Nd at (0.000, 0.000, 0.000), Nd at (0.500, 0.246, 0.100), Dy at (0.000, 0.000, 0.674), Dy at (0.000, 0.163, 0.350), Ni at (0.500, 0.000, 0.233), Ni at (0.500, 0.000, 0.466) and Ni at (0.500, 0.121, 0.835).

Entry 10:
KY2Ir | PBE-GGA | optimized geometry

The value obtained for the density is 4.77 g/cm3. For the energy of formation, the calculation gives -11 kJ/mol of atoms.

It has space group P4mm (No. 99), with a = 3.946 Å, b = 3.946 Å, c = 9.141 Å, α = 90.00°, β = 90.00° and γ = 90.00°. The inequivalent atoms are K at (0.000, 0.000, 0.000), Y at (0.000, 0.000, 0.611), Y at (0.500, 0.500, 0.365) and Ir at (0.500, 0.500, 0.654).

Entry 11:
TmGaO2 | PBE-GGA | optimized geometry

The value obtained for the formation energy without anion corrections is -927.4 kJ/mol of formula units. The value obtained for the density is 7.03 g/cm3.

It has space group R-3m (No. 166, hexagonal axes), with a = 3.3844 Å, b = 3.3844 Å, c = 19.3352 Å, α = 90.00°, β = 90.00° and γ = 120.00°. The inequivalent atoms are Tm at (0.0000, 0.0000, 0.0000), Ga at (0.0000, 0.0000, 0.5000) and O at (0.0000, 0.0000, 0.3903).

Entry 12:
NdPaPdPt | PBE-GGA | optimized geometry

The value obtained for the density is 12.46 g/cm3. For the energy of formation, the calculation gives -63 kJ/mol of atoms.

It has space group F-43m (No. 216), with a = 7.119 Å, b = 7.119 Å, c = 7.119 Å, α = 90.00°, β = 90.00° and γ = 90.00°. The inequivalent atoms are Nd at (0.000, 0.000, 0.000), Pa at (0.000, 0.000, 0.500), Pd at (0.250, 0.250, 0.750) and Pt at (0.250, 0.250, 0.250).

| no. | N(E_F) (states/eV/f.u.) |
| --- | --- |
| 1 | 3.4 |
| 2 | 0.0 |
| 3 | 2.3 |
| 4 | 4.2 |
| 5 | 33.0 |
| 6 | 3.0 |
| 7 | 3.9 |
| 8 | 2.8 |
| 9 | 9.4 |
| 10 | 3.1 |
| 11 | 0.9 |
| 12 | 6.7 |